## one
The following is a PBE calculation of crystalline CsRbNa2Cl at its relaxed geometry, from Alexandria.

abc: 6.277 6.277 6.813
angles: 90.00 90.00 90.00
Sites, in units of the cell vectors:
Cl 0.000 0.000 0.000
Na 0.500 0.000 0.000
Na 0.000 0.500 0.000
Rb 0.500 0.500 0.500
Cs 0.000 0.000 0.500

Computed properties:
total magnetic moment: 0.00 μB/cell
space group: P4/mmm, No. 123

***

## two
The following is a PBE calculation of crystalline CsRbNa2Cl at its relaxed geometry, from Alexandria.

abc: 6.422 6.422 6.515
angles: 90.00 90.00 90.00
Sites, in units of the cell vectors:
Rb 0.000 0.000 0.500
Na 0.500 0.000 0.000
Cl 0.000 0.000 0.000
Na 0.000 0.500 0.000
Cs 0.500 0.500 0.500

Computed properties:
total magnetic moment: 0.00 μB/cell
space group: P4/mmm, No. 123

***

In order of decreasing stability: one, two.

***

## one
The following is a PBE calculation of crystalline CsRb2NaCl at its relaxed geometry, from Alexandria.

abc: 6.469 6.469 8.002
angles: 90.00 90.00 90.00
Sites, in units of the cell vectors:
Na 0.000 0.000 0.500
Cs 0.500 0.500 0.500
Rb 0.000 0.500 0.000
Cl 0.000 0.000 0.000
Rb 0.500 0.000 0.000

Computed properties:
total magnetic moment: 0.46 μB/cell
space group: P4/mmm, No. 123

***

## two
The following is a PBE calculation of crystalline CsRb2NaCl at its relaxed geometry, from Alexandria.

abc: 6.646 6.646 6.993
angles: 90.00 90.00 90.00
Sites, in units of the cell vectors:
Rb 0.500 0.000 0.000
Na 0.500 0.500 0.500
Rb 0.000 0.500 0.000
Cl 0.000 0.000 0.000
Cs 0.000 0.000 0.500

Computed properties:
total magnetic moment: 0.00 μB/cell
space group: P4/mmm, No. 123

***

In order of decreasing stability: two, one.

***

## one
The following is a PBE calculation of crystalline Cs2NaSnCl6 at its relaxed geometry, from Alexandria.

abc: 7.694 7.694 7.694
angles: 60.00 60.00 90.00
Sites, in units of the cell vectors:
Cl 0.758 0.242 0.000
Cl 0.242 0.242 0.000
Cl 0.242 0.242 0.515
Cl 0.242 0.758 0.000
Na 0.500 0.500 0.000
Cl 0.758 0.758 0.000
Cs 0.750 0.250 0.500
Sn 0.000 0.000 0.000
Cs 0.250 0.750 0.500
Cl 0.758 0.758 0.485

Computed properties:
total magnetic moment: 0.00 μB/cell
space group: Fm-3m, No. 225

***

## two
The following is a PBE calculation of crystalline Cs2NaSnCl6 at its relaxed geometry, from Alexandria.

abc: 7.783 7.783 14.266
angles: 74.17 74.17 60.00
Sites, in units of the cell vectors:
Cl 0.792 0.792 0.128
Cs 0.306 0.306 0.083
Sn 0.500 0.500 0.500
Cl 0.386 0.835 0.393
Na 0.412 0.412 0.765
Cl 0.386 0.386 0.393
Na 0.588 0.588 0.235
Cl 0.614 0.165 0.607
Cs 0.888 0.888 0.337
Cl 0.289 0.792 0.128
Cl 0.792 0.289 0.128
Sn 0.000 0.000 0.000
Cl 0.711 0.208 0.872
Cl 0.835 0.386 0.393
Cs 0.694 0.694 0.917
Cl 0.208 0.711 0.872
Cl 0.208 0.208 0.872
Cl 0.614 0.614 0.607
Cl 0.165 0.614 0.607
Cs 0.112 0.112 0.663

Computed properties:
total magnetic moment: 0.00 μB/cell
space group: R-3m, No. 166

***

In order of decreasing stability: two, one.

***

## one
The following is a PBE calculation of crystalline Cs2NaTeCl6 at its relaxed geometry, from Alexandria.

abc: 7.878 7.878 7.754
angles: 59.47 59.47 90.00
Site moments in Bohr magnetons follow the coordinates.
Sites, in units of the cell vectors:
Cl 0.251 0.251 0.000  0.05
Cl 0.763 0.763 0.475  0.01
Te 0.000 0.000 0.000  0.41
Cl 0.251 0.749 0.000  0.05
Cl 0.749 0.749 0.000  0.05
Na 0.500 0.500 0.000  0.01
Cs 0.250 0.750 0.500  0.00
Cl 0.749 0.251 0.000  0.05
Cs 0.750 0.250 0.500  0.00
Cl 0.237 0.237 0.525  0.01

Computed properties:
total magnetic moment: 1.00 μB/cell
space group: I4/mmm, No. 139

***

## two
The following is a PBE calculation of crystalline Cs2NaTeCl6 at its relaxed geometry, from Alexandria.

abc: 7.939 7.939 13.177
angles: 72.47 72.47 60.00
Site moments in Bohr magnetons follow the coordinates.
Sites, in units of the cell vectors:
Cs 0.874 0.874 0.379  0.00
Cl 0.631 0.124 0.614  0.05
Cs 0.710 0.710 0.871  0.00
Te 0.000 0.000 0.000  0.37
Na 0.413 0.413 0.761  0.01
Cl 0.369 0.876 0.386  0.05
Cl 0.631 0.631 0.614  0.05
Cl 0.793 0.305 0.109  0.04
Na 0.587 0.587 0.239  0.01
Cl 0.369 0.369 0.386  0.05
Cl 0.207 0.695 0.891  0.04
Cl 0.124 0.631 0.614  0.05
Cl 0.207 0.207 0.891  0.04
Cs 0.126 0.126 0.621  0.00
Te 0.500 0.500 0.500  0.35
Cs 0.290 0.290 0.129  0.00
Cl 0.876 0.369 0.386  0.05
Cl 0.305 0.793 0.109  0.04
Cl 0.695 0.207 0.891  0.04
Cl 0.793 0.793 0.109  0.04

Computed properties:
total magnetic moment: 1.93 μB/cell
space group: R-3m, No. 166

***

In order of decreasing stability: one, two.

***

## one
The following is a PBE calculation of crystalline CsNbCl3 at its relaxed geometry, from Alexandria.

abc: 5.198 7.678 8.785
angles: 110.01 97.50 88.60
Site moments in Bohr magnetons follow the coordinates.
Sites, in units of the cell vectors:
Cl 0.591 0.630 0.970  0.01
Nb 0.203 0.771 0.851  0.36
Cl 0.054 0.436 0.726  0.00
Cl 0.690 0.466 0.401  0.00
Nb 0.688 0.651 0.703  0.36
Cs 0.757 0.010 0.427  0.00
Cl 0.300 0.791 0.584  0.01
Cs 0.133 0.412 0.127  0.00
Cl 0.200 0.955 0.153  0.00
Cl 0.837 0.985 0.828  0.00

Computed properties:
total magnetic moment: 0.95 μB/cell
space group: P-1, No. 2

***

## two
The following is a PBE calculation of crystalline CsNbCl3 at its relaxed geometry, from Alexandria.

abc: 5.244 5.244 5.244
angles: 90.00 90.00 90.00
Site moments in Bohr magnetons follow the coordinates.
Sites, in units of the cell vectors:
Cl 0.000 0.000 0.500  -0.01
Cl 0.500 0.000 0.000  0.06
Nb 0.000 0.000 0.000  2.37
Cs 0.500 0.500 0.500  0.00
Cl 0.000 0.500 0.000  0.02

Computed properties:
total magnetic moment: 3.00 μB/cell
space group: Pm-3m, No. 221

***

In order of decreasing stability: one, two.

***

## one
The following is a PBE calculation of crystalline CsNb3Cl at its relaxed geometry, from Alexandria.

abc: 5.120 5.120 5.120
angles: 90.00 90.00 90.00
Sites, in units of the cell vectors:
Nb 0.000 0.000 0.500
Cl 0.500 0.500 0.500
Nb 0.000 0.500 0.000
Nb 0.500 0.000 0.000
Cs 0.000 0.000 0.000

Computed properties:
total magnetic moment: 0.00 μB/cell
space group: Pm-3m, No. 221

***

## two
The following is a PBE calculation of crystalline CsNb3Cl at its relaxed geometry, from Alexandria.

abc: 4.816 4.816 4.816
angles: 90.00 90.00 90.00
Sites, in units of the cell vectors:
Cl 0.000 0.000 0.000
Cs 0.500 0.500 0.500
Nb 0.500 0.000 0.000
Nb 0.000 0.000 0.500
Nb 0.000 0.500 0.000

Computed properties:
total magnetic moment: 0.00 μB/cell
space group: Pm-3m, No. 221

***

In order of decreasing stability: two, one.

***

## one
The following is a PBE calculation of crystalline CsNb2Cl at its relaxed geometry, from Alexandria.

abc: 4.865 4.865 4.865
angles: 60.00 60.00 60.00
Sites, in units of the cell vectors:
Nb 0.750 0.750 0.750
Nb 0.250 0.250 0.250
Cs 0.500 0.500 0.500
Cl 0.000 0.000 0.000

Computed properties:
total magnetic moment: 0.01 μB/cell
space group: Fm-3m, No. 225

***

## two
The following is a PBE calculation of crystalline CsNb2Cl at its relaxed geometry, from Alexandria.

abc: 4.923 4.923 10.448
angles: 76.37 76.37 90.00
Sites, in units of the cell vectors:
Cl 0.500 0.500 0.000
Nb 0.385 0.625 0.250
Cs 0.000 0.000 0.000
Nb 0.875 0.615 0.750
Cl 0.250 0.750 0.500
Cs 0.750 0.250 0.500
Nb 0.375 0.635 0.750
Nb 0.365 0.125 0.250

Computed properties:
total magnetic moment: 0.00 μB/cell
space group: I-42d, No. 122

***

In order of decreasing stability: two, one.

***

## one
The following is a PBE calculation of crystalline CsNbP2Cl at its relaxed geometry, from Alexandria.

abc: 4.874 4.874 5.503
angles: 90.00 90.00 90.00
Site moments in Bohr magnetons follow the coordinates.
Sites, in units of the cell vectors:
P 0.000 0.500 0.000  0.07
P 0.500 0.000 0.000  0.07
Cl 0.000 0.000 0.500  0.00
Cs 0.500 0.500 0.500  0.00
Nb 0.000 0.000 0.000  -0.04

Computed properties:
total magnetic moment: 0.28 μB/cell
space group: P4/mmm, No. 123

***

## two
The following is a PBE calculation of crystalline CsNbP2Cl at its relaxed geometry, from Alexandria.

abc: 5.441 5.441 5.768
angles: 90.00 90.00 90.00
Site moments in Bohr magnetons follow the coordinates.
Sites, in units of the cell vectors:
P 0.000 0.500 0.000  -0.40
P 0.500 0.000 0.000  -0.40
Nb 0.500 0.500 0.500  2.74
Cl 0.000 0.000 0.500  -0.08
Cs 0.000 0.000 0.000  -0.07

Computed properties:
total magnetic moment: 1.48 μB/cell
space group: P4/mmm, No. 123

***

In order of decreasing stability: one, two.